Material: ZnRe2Ag
Method: DFT, PBE
State: relaxed

Unit cell a=4.7086 b=4.7086 c=5.0591 alpha=96.83 beta=96.83 gamma=33.78
Fractional positions:
Zn: 0.0000 0.0000 0.0000
Re: 0.4954 0.4954 0.4822
Re: 0.7460 0.7460 0.2965
Ag: 0.2480 0.2480 0.7976

Computed properties:
- electronic total energy (eV per cell) = -27.43

***

Material: AcSmGa2
Method: DFT, PBE
State: relaxed

Unit cell a=9.3412 b=9.3412 c=9.3412 alpha=24.25 beta=24.25 gamma=24.25
Fractional positions:
Ac: 0.0000 0.0000 0.0000
Sm: 0.5000 0.5000 0.5000
Ga: 0.2446 0.2446 0.2446
Ga: 0.7554 0.7554 0.7554

Computed properties:
- electronic total energy (eV per cell) = -16.10

***

Material: Cu2SiP
Method: DFT, PBE
State: relaxed

Unit cell a=7.5746 b=7.5746 c=7.5746 alpha=21.97 beta=21.97 gamma=21.97
Fractional positions:
Cu: 0.2493 0.2493 0.2493
Cu: 0.7507 0.7507 0.7507
Si: 0.0000 0.0000 0.0000
P: 0.5000 0.5000 0.5000

Computed properties:
- E_form (uncorrected) (eV per formula unit) = 0.6

***

Material: Li2PmSnSe4
Method: DFT, PBE
State: relaxed

Unit cell a=7.0843 b=7.0843 c=7.0843 alpha=131.98 beta=131.98 gamma=70.25
Fractional positions:
Li: 0.0000 0.0000 0.0000
Li: 0.7500 0.2500 0.5000
Pm: 0.2500 0.7500 0.5000
Sn: 0.5000 0.5000 0.0000
Se: 0.2527 0.2527 0.0000
Se: 0.5047 0.0047 0.5000
Se: 0.7473 0.7473 0.0000
Se: 0.9953 0.4953 0.5000

Computed properties:
- E_form (uncorrected) (eV per formula unit) = -9.2

***

Material: Y2TcHg
Method: DFT, PBE
State: relaxed

Unit cell a=5.6580 b=5.6580 c=5.6580 alpha=134.65 beta=134.65 gamma=66.07
Fractional positions:
Y: 0.0000 0.0000 0.0000
Y: 0.7500 0.2500 0.5000
Tc: 0.5000 0.5000 0.0000
Hg: 0.2500 0.7500 0.5000

Computed properties:
- electronic total energy (eV per cell) = -23.42

***

Material: Be2GaNi4P
Method: DFT, PBE
State: relaxed

Unit cell a=6.7818 b=6.7818 c=6.7818 alpha=33.16 beta=33.16 gamma=33.16
Fractional positions:
Be: 0.2442 0.2442 0.2442
Be: 0.7558 0.7558 0.7558
Ga: 0.5000 0.5000 0.5000
Ni: 0.1159 0.1159 0.1159
Ni: 0.3699 0.3699 0.3699
Ni: 0.6301 0.6301 0.6301
Ni: 0.8841 0.8841 0.8841
P: 0.0000 0.0000 0.0000

Computed properties:
- electronic total energy (eV per cell) = -42.10

***

Material: Cs3U3CdS8
Method: DFT, PBE
State: relaxed

Unit cell a=9.4315 b=9.4315 c=9.4315 alpha=50.76 beta=50.76 gamma=50.76
Fractional positions:
Cs: 0.0000 0.5000 0.5000
Cs: 0.5000 0.0000 0.5000
Cs: 0.5000 0.5000 0.0000
U: 0.0000 0.0000 0.5000
U: 0.0000 0.5000 0.0000
U: 0.5000 0.0000 0.0000
Cd: 0.5000 0.5000 0.5000
S: 0.2176 0.7308 0.7308
S: 0.2269 0.2269 0.2269
S: 0.2692 0.2692 0.7824
S: 0.2692 0.7824 0.2692
S: 0.7308 0.2176 0.7308
S: 0.7308 0.7308 0.2176
S: 0.7731 0.7731 0.7731
S: 0.7824 0.2692 0.2692

Computed properties:
- E_form (uncorrected) (eV per formula unit) = -19.0

***

Material: CsSn2I4
Method: DFT, PBE
State: relaxed

Unit cell a=7.4331 b=7.4331 c=16.5483 alpha=90.00 beta=90.00 gamma=136.92
Fractional positions:
Cs: 0.1274 0.8726 0.7500
Cs: 0.8726 0.1274 0.2500
Sn: 0.3834 0.6166 0.5536
Sn: 0.3834 0.6166 0.9464
Sn: 0.6166 0.3834 0.0536
Sn: 0.6166 0.3834 0.4464
I: 0.0000 0.0000 0.0000
I: 0.0000 0.0000 0.5000
I: 0.2656 0.7344 0.1043
I: 0.2656 0.7344 0.3957
I: 0.4306 0.5694 0.7500
I: 0.5694 0.4306 0.2500
I: 0.7344 0.2656 0.6043
I: 0.7344 0.2656 0.8957

Computed properties:
- E_form (uncorrected) (eV per formula unit) = -4.6

***

Material: Te2RhI
Method: DFT, PBE
State: relaxed

Unit cell a=6.8924 b=11.6686 c=5.5237 alpha=90.00 beta=90.00 gamma=90.00
Fractional positions:
Te: 0.1879 0.0099 0.0000
Te: 0.1903 0.6573 0.0422
Te: 0.3097 0.1573 0.5422
Te: 0.3121 0.5099 0.5000
Te: 0.6879 0.4901 0.0000
Te: 0.6903 0.8427 0.0422
Te: 0.8097 0.3427 0.5422
Te: 0.8121 0.9901 0.5000
Rh: 0.0037 0.8465 0.7842
Rh: 0.4963 0.3465 0.2842
Rh: 0.5037 0.6535 0.7842
Rh: 0.9963 0.1535 0.2842
I: 0.1593 0.3312 0.0237
I: 0.3407 0.8312 0.5237
I: 0.6593 0.1688 0.0237
I: 0.8407 0.6688 0.5237

Computed properties:
- E_form (uncorrected) (eV per formula unit) = -0.6

***

Material: KNiPCl2
Method: DFT, PBE
State: relaxed

Unit cell a=5.2123 b=5.2123 c=4.2158 alpha=90.00 beta=90.00 gamma=90.00
Fractional positions:
K: 0.0000 0.0000 0.0000
Ni: 0.5000 0.5000 0.5000
P: 0.5000 0.5000 0.0000
Cl: 0.0000 0.5000 0.5000
Cl: 0.5000 0.0000 0.5000

Computed properties:
- E_form (uncorrected) (eV per formula unit) = -2.6

***

Material: Cs3TbCe2Se6
Method: DFT, PBE
State: relaxed

Unit cell a=7.6061 b=7.6061 c=8.7486 alpha=98.33 beta=98.33 gamma=120.00
Fractional positions:
Cs: 0.0000 0.0000 0.0000
Cs: 0.3326 0.6674 0.0000
Cs: 0.6674 0.3326 0.0000
Tb: 0.5000 0.5000 0.5000
Ce: 0.1666 0.8334 0.5000
Ce: 0.8334 0.1666 0.5000
Se: 0.1113 0.4374 0.3123
Se: 0.2366 0.2366 0.6880
Se: 0.4374 0.1113 0.3123
Se: 0.5626 0.8887 0.6877
Se: 0.7634 0.7634 0.3120
Se: 0.8887 0.5626 0.6877

Computed properties:
- E_form (uncorrected) (eV per formula unit) = -20.2